The following is a PBE with a Hubbard U calculation of a relaxed structure of BaCoHg2O4, from Alexandria.

extended XYZ file:
```
8
Lattice="-1.6790 4.5856 -4.3971 0.9070 -0.3410 -5.6122 -5.2310 0.7604 -2.1198" Properties=species:S:1:pos:R:3 pbc="T T T"
O -2.9588 1.9674 -3.2933
O -5.1654 3.4181 -7.6290
O -3.5793 4.4987 -10.2370
O -0.3027 0.1257 -3.0990
Co -2.1620 0.2097 -3.8660
Hg -4.8085 2.8267 -5.0365
Hg -1.1946 2.1782 -7.0927
Ba 0.0000 0.0000 0.0000
```

## Properties
Total DFT energy (no corrections), eV per atom: -4.478
ρ, Mg/m³: 7.9
SG: No. 23
M_tot, μB/f.u.: 3.00